[1]
Material: LaNd8Dy5
Method: DFT, PBE
State: optimized geometry

```
LaNd8Dy5
1.0
8.466 0.140 -2.155
-4.502 6.470 -3.387
0.697 -0.140 8.708
La Nd Dy
1 8 5
direct
0.412 0.500 0.912
0.116 0.645 0.913
0.903 0.114 0.636
0.755 0.245 0.310
0.704 0.358 0.914
0.556 0.642 0.345
0.522 0.886 0.789
0.268 0.355 0.471
0.065 0.755 0.510
0.071 0.364 0.116
0.921 0.885 0.181
0.752 0.636 0.707
0.408 0.000 0.408
0.296 0.115 0.036
```

As for the total magnetization: 0.00 μB per atom. The calculated total energy is -4.55 eV per atom. The value obtained for the volume is 34.747 A^3/atom. As for the space group: C2 (5). Its formation enthalpy at 0 K is 0.167 eV per atom.



[2]
Material: SrSc2ZnN
Method: DFT, PBE
State: optimized geometry

```
SrSc2ZnN
1.0
4.451 0.000 0.000
0.000 4.451 0.000
0.000 0.000 5.229
Sc Sr Zn N
2 1 1 1
direct
0.000 0.500 0.000
0.500 0.000 0.000
0.000 0.000 0.500
0.500 0.500 0.500
0.000 0.000 0.000
```

As for the total magnetization: 0.00 μB per atom. The calculated total energy is -5.39 eV per atom. The value obtained for the volume is 20.721 A^3/atom. As for the space group: P4/mmm (123).



[3]
Material: Ni3C
Method: DFT, PBE
State: optimized geometry

```
Ni3C
1.0
-1.702 6.187 0.063
-0.848 -0.854 2.435
1.747 -0.137 2.075
Ni C
3 1
direct
0.824 0.275 0.275
0.500 0.500 0.500
0.176 0.725 0.725
0.000 0.000 0.000
```

As for the total magnetization: 0.16 μB per atom. The calculated total energy is -6.29 eV per atom. The value obtained for the volume is 9.939 A^3/atom. As for the space group: R-3m (166). Its formation enthalpy at 0 K is 0.350 eV per atom.



[4]
Material: Sm6AlIn2
Method: DFT, PBE
State: optimized geometry

```
Sm6AlIn2
1.0
5.223 0.000 -0.196
0.000 7.407 0.000
-2.311 -3.704 7.942
Sm Al In
6 1 2
direct
0.163 0.408 0.326
0.837 0.082 0.674
0.837 0.592 0.674
0.500 0.239 0.000
0.163 0.918 0.326
0.500 0.761 0.000
0.000 0.000 0.000
0.665 0.665 0.331
0.335 0.335 0.669
```

As for the total magnetization: 0.00 μB per atom. The calculated total energy is -4.24 eV per atom. The value obtained for the volume is 33.770 A^3/atom. As for the space group: Immm (71). Its formation enthalpy at 0 K is -0.074 eV per atom.